No. 1
# Dy5Ag2Pb, optimized geometry, DFT PBE
# E   -4.35 eV/atom
# ρ   9.38 g cm⁻³
# ΔE_f   -297 meV/atom
# Magnetic moment   0.000 μB/cell
data_Dy5Ag2Pb
_chemical_formula_sum 'Dy20 Ag8 Pb4'
_cell_length_a 8.090
_cell_length_b 8.090
_cell_length_c 13.370
_cell_angle_alpha 90.00
_cell_angle_beta 90.00
_cell_angle_gamma 90.00
_space_group_name_H-M_alt 'I 4/m c m'
_space_group_IT_number 140
_space_group_name_Hall '-I 4 2c'
loop_
_atom_site_label
_atom_site_type_symbol
_atom_site_fract_x
_atom_site_fract_y
_atom_site_fract_z
_atom_site_occupancy
Dy1 Dy 0.000 0.000 0.000 1
Dy2 Dy 0.155 0.345 0.148 1
Ag1 Ag 0.134 0.366 0.500 1
Pb1 Pb 0.000 0.000 0.250 1

No. 2
# Dy7Ag2Pb2, optimized geometry, DFT PBE
# E   -4.15 eV/atom
# ρ   8.63 g cm⁻³
# ΔE_f   -29 meV/atom
# Magnetic moment   0.000 μB/cell
data_Dy7Ag2Pb2
_chemical_formula_sum 'Dy14 Ag4 Pb4'
_cell_length_a 8.461
_cell_length_b 11.278
_cell_length_c 7.126
_cell_angle_alpha 90.00
_cell_angle_beta 90.00
_cell_angle_gamma 90.00
_space_group_name_H-M_alt 'C m m m'
_space_group_IT_number 65
_space_group_name_Hall '-C 2 2'
loop_
_atom_site_label
_atom_site_type_symbol
_atom_site_fract_x
_atom_site_fract_y
_atom_site_fract_z
_atom_site_occupancy
Dy1 Dy 0.000 0.000 0.000 1
Dy2 Dy 0.000 0.500 0.244 1
Dy3 Dy 0.250 0.250 0.262 1
Ag1 Ag 0.000 0.285 0.000 1
Pb1 Pb 0.184 0.000 0.500 1

No. 3
# DyAgPb, optimized geometry, DFT PBE
# E   -4.12 eV/atom
# ρ   10.53 g cm⁻³
# ΔE_f   -400 meV/atom
# Magnetic moment   0.000 μB/cell
data_DyAgPb
_chemical_formula_sum 'Dy2 Ag2 Pb2'
_cell_length_a 4.8193
_cell_length_b 4.8193
_cell_length_c 7.4906
_cell_angle_alpha 90.00
_cell_angle_beta 90.00
_cell_angle_gamma 120.00
_space_group_name_H-M_alt 'P 63 m c'
_space_group_IT_number 186
_space_group_name_Hall 'P 6c -2c'
loop_
_atom_site_label
_atom_site_type_symbol
_atom_site_fract_x
_atom_site_fract_y
_atom_site_fract_z
_atom_site_occupancy
Dy1 Dy 0.0000 0.0000 0.0000 1
Ag1 Ag 0.3333 0.6667 0.3157 1
Pb1 Pb 0.3333 0.6667 0.7201 1

No. 4
# Dy4Ag2Pb, optimized geometry, DFT PBE
# E   -4.17 eV/atom
# ρ   9.32 g cm⁻³
# ΔE_f   -196 meV/atom
# Magnetic moment   0.001 μB/cell
data_Dy4Ag2Pb
_chemical_formula_sum 'Dy12 Ag6 Pb3'
_cell_length_a 5.1928
_cell_length_b 5.1928
_cell_length_c 24.5665
_cell_angle_alpha 90.00
_cell_angle_beta 90.00
_cell_angle_gamma 120.00
_space_group_name_H-M_alt 'R -3 m'
_space_group_IT_number 166
_space_group_name_Hall '-R 3 2"'
loop_
_atom_site_label
_atom_site_type_symbol
_atom_site_fract_x
_atom_site_fract_y
_atom_site_fract_z
_atom_site_occupancy
Dy1 Dy 0.0000 0.0000 0.1124 1
Dy2 Dy 0.0000 0.0000 0.3675 1
Ag1 Ag 0.0000 0.0000 0.2451 1
Pb1 Pb 0.0000 0.0000 0.5000 1